1.
Here is crystalline La5Pm4Pr3 at its relaxed geometry from Alexandria. Energies are from GGA-PBE.

Results
calculated density = 6.383 g cm⁻³
space-group type = C2/m (12)

Geometry as POSCAR:
```
La5Pm4Pr3
1.0
9.343 -2.979 0.000
9.343 2.979 0.000
-4.392 0.000 7.932
La Pm Pr
5 4 3
Cartesian
0.000 0.000 0.000
5.809 0.000 0.841
4.870 0.000 4.561
9.424 0.000 3.371
8.485 0.000 7.091
-2.496 0.000 5.568
0.891 0.000 5.117
13.403 0.000 2.815
16.790 0.000 2.364
2.478 0.000 1.753
9.343 0.000 0.000
11.816 0.000 6.179
```

=====

2.
Here is crystalline La5Pm4Pr3 at its relaxed geometry from Alexandria. Energies are from GGA-PBE.

Results
calculated density = 6.534 g cm⁻³
space-group type = P-1 (2)

Geometry as POSCAR:
```
La5Pm4Pr3
1.0
6.421 0.000 0.000
-0.012 7.387 0.000
-0.012 -0.042 9.095
La Pm Pr
5 4 3
Cartesian
0.000 0.000 0.000
2.128 3.676 3.044
3.207 1.836 0.002
3.189 5.509 9.093
4.269 3.669 6.051
1.058 5.525 6.054
2.141 -0.014 3.048
4.255 7.359 6.047
5.339 1.820 3.040
-0.006 3.693 0.000
1.063 1.804 6.050
5.333 5.541 3.045
```

=====

Most stable of them? 2.

=====

1.
Here is crystalline La2Pm6Pr at its relaxed geometry from Alexandria. Energies are from GGA-PBE.

Results
calculated density = 5.939 g cm⁻³
space-group type = P4_2/mnm (136)

Geometry as POSCAR:
```
La2Pm6Pr
1.0
5.724 0.000 0.000
0.000 5.724 0.000
0.000 0.000 21.998
La Pm Pr
4 12 2
Cartesian
0.000 0.000 5.166
0.000 0.000 16.832
2.862 2.862 5.833
2.862 2.862 16.165
0.977 0.977 0.000
1.278 1.278 8.327
1.278 1.278 13.671
1.583 4.140 2.672
1.583 4.140 19.326
1.885 3.839 10.999
3.839 1.885 10.999
4.140 1.583 2.672
4.140 1.583 19.326
4.445 4.445 8.327
4.445 4.445 13.671
4.747 4.747 0.000
0.000 0.000 10.999
2.862 2.862 0.000
```

=====

2.
Here is crystalline La2Pm6Pr at its relaxed geometry from Alexandria. Energies are from GGA-PBE.

Results
calculated density = 6.762 g cm⁻³
space-group type = Cmmm (65)

Geometry as POSCAR:
```
La2Pm6Pr
1.0
5.034 -8.759 0.000
5.034 8.759 0.000
0.000 0.000 3.588
La Pm Pr
2 6 1
Cartesian
5.034 5.838 0.000
5.034 -5.838 0.000
3.353 2.913 1.794
1.689 0.000 1.794
3.353 -2.913 1.794
6.716 2.913 1.794
8.379 0.000 1.794
6.716 -2.913 1.794
5.034 0.000 0.000
```

=====

Most stable of them? 2.

=====

1.
Here is crystalline LaPm8Pr2 at its relaxed geometry from Alexandria. Energies are from GGA-PBE.

Results
calculated density = 6.547 g cm⁻³
space-group type = C2/m (12)

Geometry as POSCAR:
```
LaPm8Pr2
1.0
9.778 -3.582 0.000
9.778 3.582 0.000
-0.353 0.000 5.724
La Pm Pr
1 8 2
Cartesian
0.000 0.000 0.000
7.136 1.671 1.536
3.569 0.000 1.326
12.067 1.671 4.188
8.639 0.000 4.358
10.564 0.000 1.366
7.136 -1.671 1.536
15.635 0.000 4.398
12.067 -1.671 4.188
5.294 0.000 4.261
13.909 0.000 1.463
```

=====

2.
Here is crystalline LaPm8Pr2 at its relaxed geometry from Alexandria. Energies are from GGA-PBE.

Results
calculated density = 6.735 g cm⁻³
space-group type = Immm (71)

Geometry as POSCAR:
```
LaPm8Pr2
1.0
-2.858 4.202 8.115
2.858 -4.202 8.115
2.858 4.202 -8.115
La Pm Pr
1 8 2
Cartesian
0.000 0.000 0.000
2.858 -1.724 5.868
2.858 0.000 2.593
2.858 2.472 0.000
0.000 2.478 2.247
2.858 1.724 5.868
0.000 1.730 8.115
0.000 4.202 5.521
0.000 5.925 2.247
0.000 0.000 4.866
0.000 0.000 11.363
```

=====

Most stable of them? 2.

=====

1.
Here is crystalline La3Pm2Pr3 at its relaxed geometry from Alexandria. Energies are from GGA-PBE.

Results
calculated density = 6.437 g cm⁻³
space-group type = C2/m (12)

Geometry as POSCAR:
```
La3Pm2Pr3
1.0
8.451 -2.993 0.000
8.451 2.993 0.000
-2.251 0.000 5.759
La Pm Pr
3 2 3
Cartesian
0.000 0.000 0.000
0.972 0.000 3.330
13.679 0.000 2.429
3.826 0.000 1.049
10.825 0.000 4.710
4.350 0.000 4.685
7.325 0.000 2.880
10.301 0.000 1.074
```

=====

2.
Here is crystalline La3Pm2Pr3 at its relaxed geometry from Alexandria. Energies are from GGA-PBE.

Results
calculated density = 6.507 g cm⁻³
space-group type = C2/m (12)

Geometry as POSCAR:
```
La3Pm2Pr3
1.0
10.792 -2.622 0.000
10.792 2.622 0.000
-1.266 0.000 5.093
La Pm Pr
3 2 3
Cartesian
0.000 0.000 0.000
1.921 0.000 3.186
18.397 0.000 1.907
5.069 0.000 1.270
15.249 0.000 3.823
6.942 0.000 4.445
10.159 0.000 2.547
13.376 0.000 0.648
```

=====

Most stable of them? 2.

=====

1.
Here is crystalline La6Pm12Pr at its relaxed geometry from Alexandria. Energies are from GGA-PBE.

Results
calculated density = 6.694 g cm⁻³
space-group type = R-3 (148)

Geometry as POSCAR:
```
La6Pm12Pr
1.0
8.029 4.635 3.015
-8.029 4.635 3.015
0.000 -9.271 3.015
La Pm Pr
6 12 1
Cartesian
-4.212 -0.484 3.021
2.525 -3.406 3.021
-1.687 -3.890 6.025
1.687 3.890 3.021
-2.525 3.406 6.025
4.212 0.484 6.025
-0.411 -5.619 3.015
-4.661 3.165 3.015
-0.843 -1.947 3.009
-5.072 -2.454 6.031
-1.264 1.703 3.009
2.107 0.243 3.009
-2.107 -0.243 6.037
1.264 -1.703 6.037
5.072 2.454 3.015
0.843 1.947 6.037
4.661 -3.165 6.031
0.411 5.619 6.031
0.000 0.000 0.000
```

=====

2.
Here is crystalline La6Pm12Pr at its relaxed geometry from Alexandria. Energies are from GGA-PBE.

Results
calculated density = 6.642 g cm⁻³
space-group type = R-3 (148)

Geometry as POSCAR:
```
La6Pm12Pr
1.0
6.197 3.578 5.101
-6.197 3.578 5.101
0.000 -7.155 5.101
La Pm Pr
6 12 1
Cartesian
-3.524 -0.811 7.923
-1.059 -3.457 7.382
-2.464 2.646 7.382
2.464 -2.646 7.923
1.059 3.457 7.923
3.524 0.811 7.382
-5.600 1.482 6.376
-4.084 -4.108 8.928
-2.114 0.003 4.738
1.516 -5.591 6.376
1.055 -1.832 4.738
1.060 1.830 4.738
-1.060 -1.830 10.566
-1.055 1.832 10.566
-1.516 5.591 8.928
2.114 -0.003 10.566
4.084 4.108 6.376
5.600 -1.482 8.928
0.000 0.000 7.652
```

=====

Most stable of them? 1.

=====

1.
Here is crystalline La6Pm3Pr2 at its relaxed geometry from Alexandria. Energies are from GGA-PBE.

Results
calculated density = 6.490 g cm⁻³
space-group type = P-1 (2)

Geometry as POSCAR:
```
La6Pm3Pr2
1.0
5.236 0.000 0.000
0.005 8.311 0.000
2.594 2.540 9.116
La Pm Pr
6 3 2
Cartesian
1.299 2.928 3.737
1.309 6.259 2.071
3.911 2.113 6.227
3.923 8.738 2.888
6.525 4.591 7.044
6.534 7.922 5.378
1.311 1.251 0.423
3.917 5.425 4.558
6.523 9.599 8.693
3.908 7.090 7.883
3.926 3.760 1.233
```

=====

2.
Here is crystalline La6Pm3Pr2 at its relaxed geometry from Alexandria. Energies are from GGA-PBE.

Results
calculated density = 6.123 g cm⁻³
space-group type = I4/mmm (139)

Geometry as POSCAR:
```
La6Pm3Pr2
1.0
-3.008 3.008 11.620
3.008 -3.008 11.620
3.008 3.008 -11.620
La Pm Pr
6 3 2
Cartesian
3.008 0.000 2.561
0.000 0.000 5.091
3.008 0.000 9.059
0.000 3.008 2.561
0.000 0.000 18.149
0.000 3.008 9.059
0.000 0.000 8.096
0.000 0.000 11.620
0.000 0.000 15.145
0.000 0.000 1.461
0.000 0.000 21.779
```

=====

Most stable of them? 1.

=====

1.
Here is crystalline LaPm3Pr at its relaxed geometry from Alexandria. Energies are from GGA-PBE.

Results
calculated density = 6.683 g cm⁻³
space-group type = C2/m (12)

Geometry as POSCAR:
```
LaPm3Pr
1.0
8.881 -3.473 0.000
8.881 3.473 0.000
-2.101 0.000 5.758
La Pm Pr
2 6 2
Cartesian
0.000 0.000 0.000
-1.051 0.000 2.879
4.894 1.641 3.435
1.985 0.000 5.622
10.767 1.641 2.323
4.894 -1.641 3.435
13.676 0.000 0.137
10.767 -1.641 2.323
7.603 0.000 1.164
8.058 0.000 4.595
```

=====

2.
Here is crystalline LaPm3Pr at its relaxed geometry from Alexandria. Energies are from GGA-PBE.

Results
calculated density = 6.700 g cm⁻³
space-group type = C2/m (12)

Geometry as POSCAR:
```
LaPm3Pr
1.0
13.178 -1.845 0.000
13.178 1.845 0.000
-0.984 0.000 7.285
La Pm Pr
2 6 2
Cartesian
4.926 0.000 2.547
20.446 0.000 4.738
26.099 0.000 1.833
-0.727 0.000 5.453
4.420 0.000 6.189
10.120 0.000 3.282
15.252 0.000 4.004
20.952 0.000 1.096
9.631 0.000 6.932
15.742 0.000 0.354
```

=====

Most stable of them? 2.

=====

1.
Here is crystalline La8Pm3Pr2 at its relaxed geometry from Alexandria. Energies are from GGA-PBE.

Results
calculated density = 6.289 g cm⁻³
space-group type = C2/m (12)

Geometry as POSCAR:
```
La8Pm3Pr2
1.0
10.486 -3.880 0.000
10.486 3.880 0.000
-0.002 0.000 5.932
La Pm Pr
8 3 2
Cartesian
8.315 2.304 5.931
3.623 0.000 2.970
12.655 2.304 0.000
7.675 0.000 2.968
13.295 0.000 2.964
8.315 -2.304 5.931
17.347 0.000 2.962
12.655 -2.304 0.000
10.485 2.181 2.966
10.486 0.000 0.000
10.485 -2.181 2.966
5.403 0.000 0.006
15.567 0.000 5.926
```

=====

2.
Here is crystalline La8Pm3Pr2 at its relaxed geometry from Alexandria. Energies are from GGA-PBE.

Results
calculated density = 6.425 g cm⁻³
space-group type = C2/m (12)

Geometry as POSCAR:
```
La8Pm3Pr2
1.0
6.865 -5.965 0.000
6.865 5.965 0.000
-2.588 0.000 5.770
La Pm Pr
8 3 2
Cartesian
-0.142 0.000 1.598
2.385 3.139 4.837
3.860 0.000 2.433
8.756 3.139 0.933
2.385 -3.139 4.837
7.282 0.000 3.336
8.756 -3.139 0.933
11.283 0.000 4.171
5.571 2.959 2.885
6.865 0.000 0.000
5.571 -2.959 2.885
0.889 0.000 4.600
10.253 0.000 1.170
```

=====

Most stable of them? 2.

=====

1.
Here is crystalline La2Pm4Pr at its relaxed geometry from Alexandria. Energies are from GGA-PBE.

Results
calculated density = 6.419 g cm⁻³
space-group type = P-1 (2)

Geometry as POSCAR:
```
La2Pm4Pr
1.0
7.062 0.000 0.000
-2.040 6.829 0.000
0.000 -0.001 10.715
La Pm Pr
4 8 2
Cartesian
0.000 0.000 0.000
0.000 -0.001 5.357
-1.020 3.414 0.000
3.531 0.000 0.000
1.267 2.129 8.378
0.253 5.542 7.670
1.279 2.132 2.333
0.267 5.545 3.052
4.755 1.283 7.662
3.743 4.696 8.382
4.769 1.286 3.045
3.755 4.698 2.337
-1.020 3.414 5.357
2.511 3.414 5.357
```

=====

2.
Here is crystalline La2Pm4Pr at its relaxed geometry from Alexandria. Energies are from GGA-PBE.

Results
calculated density = 6.505 g cm⁻³
space-group type = I4/mmm (139)

Geometry as POSCAR:
```
La2Pm4Pr
1.0
-2.343 2.343 11.613
2.343 -2.343 11.613
2.343 2.343 -11.613
La Pm Pr
2 4 1
Cartesian
0.000 0.000 2.279
0.000 0.000 20.948
2.343 0.000 5.807
0.000 0.000 8.390
0.000 0.000 14.837
0.000 2.343 5.807
0.000 0.000 11.613
```

=====

Most stable of them? 1.

=====

1.
Here is crystalline La4Pm3Pr4 at its relaxed geometry from Alexandria. Energies are from GGA-PBE.

Results
calculated density = 6.347 g cm⁻³
space-group type = Immm (71)

Geometry as POSCAR:
```
La4Pm3Pr4
1.0
-1.839 4.868 11.356
1.839 -4.868 11.356
1.839 4.868 -11.356
La Pm Pr
4 3 4
Cartesian
1.839 -3.215 8.066
0.000 1.653 3.290
1.839 3.215 8.066
0.000 8.082 3.290
1.839 0.000 0.000
0.000 0.000 8.961
0.000 0.000 13.750
1.839 0.000 5.996
0.000 3.030 0.000
0.000 6.706 0.000
0.000 4.868 5.359
```

=====

2.
Here is crystalline La4Pm3Pr4 at its relaxed geometry from Alexandria. Energies are from GGA-PBE.

Results
calculated density = 6.523 g cm⁻³
space-group type = P-1 (2)

Geometry as POSCAR:
```
La4Pm3Pr4
1.0
3.608 0.000 0.000
0.000 5.886 0.000
1.798 2.903 18.632
La Pm Pr
4 3 4
Cartesian
0.899 1.472 7.601
0.902 4.411 2.602
4.505 4.378 16.030
4.508 7.317 11.031
2.703 7.324 14.399
2.703 4.395 9.316
2.703 1.465 4.233
0.900 4.411 5.942
0.902 1.470 0.658
4.504 7.319 17.974
4.507 4.378 12.690
```

=====

Most stable of them? 2.